DFT (PBE) results for a relaxed structure of Li12Mg5Pb3.

a b c (Å): 14.239 14.239 14.239
angles (deg): 109.47 109.47 109.47
Fractional positions:
Li  0.073  0.655  0.421
Li  0.073  0.918  0.653
Li  0.079  0.735  0.653
Li  0.079  0.845  0.427
Li  0.082  0.235  0.155
Li  0.082  0.347  0.927
Li  0.153  0.235  0.579
Li  0.153  0.418  0.573
Li  0.155  0.082  0.235
Li  0.155  0.573  0.921
Li  0.235  0.155  0.082
Li  0.235  0.579  0.153
Li  0.265  0.347  0.921
Li  0.265  0.418  0.345
Li  0.345  0.265  0.418
Li  0.345  0.579  0.927
Li  0.347  0.921  0.265
Li  0.347  0.927  0.082
Li  0.418  0.345  0.265
Li  0.418  0.573  0.153
Li  0.421  0.073  0.655
Li  0.421  0.847  0.765
Li  0.427  0.079  0.845
Li  0.427  0.847  0.582
Li  0.573  0.153  0.418
Li  0.573  0.921  0.155
Li  0.579  0.153  0.235
Li  0.579  0.927  0.345
Li  0.582  0.427  0.847
Li  0.582  0.655  0.735
Li  0.653  0.073  0.918
Li  0.653  0.079  0.735
Li  0.655  0.421  0.073
Li  0.655  0.735  0.582
Li  0.735  0.582  0.655
Li  0.735  0.653  0.079
Li  0.765  0.421  0.847
Li  0.765  0.845  0.918
Li  0.845  0.427  0.079
Li  0.845  0.918  0.765
Li  0.847  0.582  0.427
Li  0.847  0.765  0.421
Li  0.918  0.653  0.073
Li  0.918  0.765  0.845
Li  0.921  0.155  0.573
Li  0.921  0.265  0.347
Li  0.927  0.082  0.347
Li  0.927  0.345  0.579
Mg  0.000  0.000  0.000
Mg  0.000  0.000  0.500
Mg  0.000  0.500  0.000
Mg  0.000  0.500  0.500
Mg  0.125  0.750  0.875
Mg  0.125  0.875  0.250
Mg  0.250  0.125  0.875
Mg  0.250  0.625  0.375
Mg  0.375  0.250  0.625
Mg  0.375  0.625  0.750
Mg  0.500  0.000  0.000
Mg  0.500  0.000  0.500
Mg  0.500  0.500  0.000
Mg  0.500  0.500  0.500
Mg  0.625  0.375  0.250
Mg  0.625  0.750  0.375
Mg  0.750  0.375  0.625
Mg  0.750  0.875  0.125
Mg  0.875  0.125  0.750
Mg  0.875  0.250  0.125
Pb  0.125  0.250  0.375
Pb  0.125  0.375  0.750
Pb  0.250  0.375  0.125
Pb  0.250  0.875  0.625
Pb  0.375  0.125  0.250
Pb  0.375  0.750  0.125
Pb  0.625  0.250  0.875
Pb  0.625  0.875  0.750
Pb  0.750  0.125  0.375
Pb  0.750  0.625  0.875
Pb  0.875  0.625  0.250
Pb  0.875  0.750  0.625

Results
- total magnetization (μB/atom) = 0.00
- formation energy (meV per atom) = 202
- V (Å³/cell) = 2222.2
- N(E_F) (states/eV/cell) = 36.53

DFT (PBE) results for a relaxed structure of ScTaNi.

a b c (Å): 7.255 7.255 7.491
angles (deg): 93.66 93.66 33.75
Fractional positions:
Sc  0.053  0.053  0.344
Sc  0.419  0.419  0.154
Sc  0.581  0.581  0.846
Sc  0.947  0.947  0.656
Ta  0.202  0.202  0.070
Ta  0.213  0.213  0.660
Ta  0.787  0.787  0.340
Ta  0.798  0.798  0.930
Ni  0.366  0.366  0.476
Ni  0.376  0.376  0.821
Ni  0.624  0.624  0.179
Ni  0.634  0.634  0.524

Results
- total magnetization (μB/atom) = 0.00
- formation energy (meV per atom) = 3
- V (Å³/cell) = 218.5
- E above lowest polymorph (eV per atom) = 0.170
- N(E_F) (states/eV/cell) = 11.13